Entry 1:
The following is a PBE calculation of a relaxed structure of GdDy2In3Co3, from the Open Quantum Materials Database.

Calculated values
The calculation puts the final energy at -46.0 eV per formula unit.

Unit cell a=3.8601 b=7.3549 c=7.3549 alpha=119.96 beta=90.00 gamma=90.00
Last column: nearest neighbours and their distance in Å.
Atoms (fractional coordinates):
In 0.5000 0.9988 0.2531  4 Co 2.69-2.80
Co 0.0000 0.9992 0.9992  6 In 2.67-2.69
Co 0.5000 0.3329 0.6674  3 In 2.78-2.80, 4 Dy 2.94, 2 Gd 2.95
In 0.5000 0.2531 0.9988  4 Co 2.69-2.80
Co 0.5000 0.6674 0.3329  3 In 2.78-2.80, 4 Dy 2.94, 2 Gd 2.95
Dy 0.0000 0.9999 0.5907  5 Co 2.94-3.01, 6 In 3.14-3.26
In 0.5000 0.7477 0.7477  4 Co 2.67-2.80
Gd 0.0000 0.4103 0.4103  5 Co 2.95-3.03, 6 In 3.15-3.28
Dy 0.0000 0.5907 0.9999  5 Co 2.94-3.01, 6 In 3.14-3.26


Entry 2:
The following is a PBE calculation of a relaxed structure of CoTeBr, from the Open Quantum Materials Database.

Calculated values
The calculation puts the final energy at -12.2 eV per formula unit.

Unit cell a=7.3091 b=6.4749 c=7.3898 alpha=90.00 beta=114.32 gamma=90.00
Last column: nearest neighbours and their distance in Å.
Atoms (fractional coordinates):
Br 0.8591 0.8732 0.2456  1 Co 2.27
Te 0.3768 0.8073 0.2607  3 Co 2.43-2.45
Te 0.6232 0.1927 0.7393  3 Co 2.43-2.45
Br 0.1409 0.3732 0.2544  1 Co 2.27
Co 0.4090 0.1584 0.3883  1 Br 2.27, 3 Te 2.43-2.45
Co 0.5910 0.6584 0.1117  1 Br 2.27, 3 Te 2.43-2.45
Te 0.3768 0.6927 0.7607  3 Co 2.43-2.45
Br 0.8591 0.6268 0.7456  1 Co 2.27
Br 0.1409 0.1268 0.7544  1 Co 2.27
Co 0.4090 0.3416 0.8883  1 Br 2.27, 3 Te 2.43-2.45
Co 0.5910 0.8416 0.6117  1 Br 2.27, 3 Te 2.43-2.45
Te 0.6232 0.3073 0.2393  3 Co 2.43-2.45


Entry 3:
The following is a PBE calculation of a relaxed structure of YTe3PbAu, from the Open Quantum Materials Database.

Calculated values
The calculation puts the final energy at -27.2 eV per formula unit. As for the energy relative to the lowest polymorph listed for this composition: 2 meV/atom.

Unit cell a=7.7556 b=7.7556 c=11.1533 alpha=90.00 beta=90.00 gamma=147.90
Last column: nearest neighbours and their distance in Å.
Atoms (fractional coordinates):
Pb 0.2261 0.7739 0.2500  6 Te 3.30-3.45, 2 Au 3.59
Y 0.0000 0.0000 0.5000  6 Te 3.11-3.12
Te 0.9076 0.0924 0.2500  2 Au 2.84, 2 Y 3.11
Au 0.5327 0.4673 0.2500  4 Te 2.79-2.84
Te 0.3530 0.6470 0.9483  1 Au 2.79, 2 Y 3.12
Te 0.6470 0.3530 0.0517  1 Au 2.79, 2 Y 3.12
Y 0.0000 0.0000 0.0000  6 Te 3.11-3.12
Te 0.0924 0.9076 0.7500  2 Au 2.84, 2 Y 3.11
Te 0.3530 0.6470 0.5517  1 Au 2.79, 2 Y 3.12
Te 0.6470 0.3530 0.4483  1 Au 2.79, 2 Y 3.12
Pb 0.7739 0.2261 0.7500  6 Te 3.30-3.45, 2 Au 3.59
Au 0.4673 0.5327 0.7500  4 Te 2.79-2.84


Entry 4:
The following is a PBE calculation of a relaxed structure of InNiAgTe2S, from the Open Quantum Materials Database.

Calculated values
The calculation puts the final energy at -21.8 eV per formula unit.

Unit cell a=8.3925 b=8.3925 c=9.8124 alpha=90.00 beta=90.00 gamma=154.10
Last column: nearest neighbours and their distance in Å.
Atoms (fractional coordinates):
Ni 0.0000 0.0000 0.0000  4 Te 2.52
Te 0.4061 0.5939 0.0692  2 Ni 2.52
Ag 0.5444 0.4556 0.2500  2 S 2.76, 2 Te 2.88
Te 0.4061 0.5939 0.4308  2 Ni 2.52
Ni 0.0000 0.0000 0.5000  4 Te 2.52
S 0.1679 0.8321 0.2500  2 In 2.57, 2 Ag 2.76
Te 0.5939 0.4061 0.5692  2 Ni 2.52
Ag 0.4556 0.5444 0.7500  2 S 2.76, 2 Te 2.88
In 0.7751 0.2249 0.2500  2 S 2.57
In 0.2249 0.7751 0.7500  2 S 2.57
S 0.8321 0.1679 0.7500  2 In 2.57, 2 Ag 2.76
Te 0.5939 0.4061 0.9308  2 Ni 2.52


Entry 5:
The following is a PBE calculation of a relaxed structure of Gd2Cd2O5, from the Open Quantum Materials Database.

Calculated values
The calculation puts the final energy at -51.1 eV per formula unit. As for the energy relative to the lowest polymorph listed for this composition: 218 meV/atom.

Unit cell a=7.2371 b=4.2072 c=4.2072 alpha=90.00 beta=90.00 gamma=90.00
Last column: nearest neighbours and their distance in Å.
Atoms (fractional coordinates):
O 0.1986 0.0000 0.5000  2 Cd 2.10
O 0.1986 0.5000 0.0000  2 Cd 2.10
Cd 0.2050 0.5000 0.5000  5 O 2.10-2.14
Gd 0.5000 0.0000 0.0000  12 O 2.97-3.03
O 0.8014 0.0000 0.5000  2 Cd 2.10
Gd 0.0000 0.0000 0.0000  8 O 2.55
O 0.5000 0.5000 0.5000  2 Cd 2.14
Cd 0.7950 0.5000 0.5000  5 O 2.10-2.14
O 0.8014 0.5000 0.0000  2 Cd 2.10


Entry 6:
The following is a PBE calculation of a relaxed structure of BaErZnSb2, from the Open Quantum Materials Database.

Calculated values
The calculation puts the final energy at -19.9 eV per formula unit.

Unit cell a=9.4459 b=9.4459 c=7.0824 alpha=90.00 beta=90.00 gamma=151.07
Last column: nearest neighbours and their distance in Å.
Atoms (fractional coordinates):
Sb 0.1499 0.8501 0.0054  2 Zn 2.71
Sb 0.4379 0.5621 0.0022  2 Zn 2.82-2.91, 2 Er 3.14
Sb 0.8501 0.1499 0.5054  2 Zn 2.71
Er 0.9934 0.0066 0.7464  6 Sb 3.13-3.40, 2 Zn 3.14
Ba 0.2016 0.7984 0.5090  6 Sb 3.47-3.69, 1 Zn 3.88
Er 0.0066 0.9934 0.2464  6 Sb 3.13-3.40, 2 Zn 3.14
Zn 0.4088 0.5912 0.3929  4 Sb 2.71-2.91
Zn 0.5912 0.4088 0.8929  4 Sb 2.71-2.91
Ba 0.7984 0.2016 0.0090  6 Sb 3.47-3.69, 1 Zn 3.88
Sb 0.5621 0.4379 0.5022  2 Zn 2.82-2.91, 2 Er 3.14


Entry 7:
The following is a PBE calculation of a relaxed structure of PrBi2, from the Open Quantum Materials Database.

Calculated values
The calculation puts the final energy at -14.0 eV per formula unit.

Unit cell a=4.8804 b=5.0852 c=8.2271 alpha=91.23 beta=107.25 gamma=90.00
Last column: nearest neighbours and their distance in Å.
Atoms (fractional coordinates):
Bi 0.0968 0.2462 0.1937  4 Pr 3.43-3.52, 4 Bi 3.52-3.53
Bi 0.9032 0.7538 0.8063  4 Pr 3.43-3.52, 4 Bi 3.52-3.53
Pr 0.2493 0.7497 0.4986  8 Bi 3.43-3.56, 4 Pr 3.52-3.53
Bi 0.5945 0.7470 0.1891  4 Pr 3.44-3.56, 5 Bi 3.52-3.85
Bi 0.4055 0.2530 0.8109  4 Pr 3.44-3.56, 5 Bi 3.52-3.85
Pr 0.7507 0.2503 0.5014  8 Bi 3.43-3.56, 4 Pr 3.52-3.53


Entry 8:
The following is a PBE calculation of a relaxed structure of La2BiAu2, from the Open Quantum Materials Database.

Calculated values
The calculation puts the final energy at -24.8 eV per formula unit.

Unit cell a=8.1274 b=8.1274 c=4.2090 alpha=90.00 beta=90.00 gamma=90.00
Last column: nearest neighbours and their distance in Å.
Atoms (fractional coordinates):
La 0.6741 0.8259 0.5000  6 Au 3.14-3.23
Bi 0.5000 0.5000 0.0000  4 Au 3.22
Bi 0.0000 0.0000 0.0000  4 Au 3.22
La 0.1741 0.6741 0.5000  6 Au 3.14-3.23
Au 0.1237 0.3763 0.0000  1 Au 2.84, 2 La 3.14
La 0.3259 0.1741 0.5000  6 Au 3.14-3.23
Au 0.8763 0.6237 0.0000  1 Au 2.84, 2 La 3.14
La 0.8259 0.3259 0.5000  6 Au 3.14-3.23
Au 0.3763 0.8763 0.0000  1 Au 2.84, 2 La 3.14
Au 0.6237 0.1237 0.0000  1 Au 2.84, 2 La 3.14


Entry 9:
The following is a PBE calculation of a relaxed structure of ZrHg2O4, from the Open Quantum Materials Database.

Calculated values
The calculation puts the final energy at -38.6 eV per formula unit.

Unit cell a=7.0772 b=7.0772 c=5.3635 alpha=104.33 beta=104.33 gamma=106.30
Last column: nearest neighbours and their distance in Å.
Atoms (fractional coordinates):
O 0.1893 0.1659 0.0836  1 Zr 2.08, 1 Hg 2.10
O 0.3002 0.8460 0.5598  1 Zr 1.98, 1 Hg 2.03
Hg 0.4452 0.2063 0.5047  2 O 2.03-2.10
O 0.1540 0.6998 0.9402  1 Zr 1.98, 1 Hg 2.03
O 0.8341 0.8107 0.4164  1 Zr 2.08, 1 Hg 2.10
Hg 0.5548 0.7937 0.4953  2 O 2.03-2.10
O 0.1659 0.1893 0.5836  1 Zr 2.08, 1 Hg 2.10
O 0.8107 0.8341 0.9164  1 Zr 2.08, 1 Hg 2.10
Zr 0.1027 0.8973 0.7500  4 O 1.98-2.08
Zr 0.8973 0.1027 0.2500  4 O 1.98-2.08
Hg 0.7937 0.5547 0.9953  2 O 2.03-2.10
O 0.6998 0.1540 0.4402  1 Zr 1.98, 1 Hg 2.03
Hg 0.2063 0.4453 0.0047  2 O 2.03-2.10
O 0.8460 0.3002 0.0598  1 Zr 1.98, 1 Hg 2.03


Entry 10:
The following is a PBE calculation of a relaxed structure of NdSc2Ni9, from the Open Quantum Materials Database.

Calculated values
The calculation puts the final energy at -72.6 eV per formula unit. The energy relative to the elements comes out at -423 meV/atom.

Unit cell a=8.4165 b=8.4165 c=8.4165 alpha=33.83 beta=33.83 gamma=33.83
Last column: nearest neighbours and their distance in Å.
Atoms (fractional coordinates):
Ni 0.5000 0.5000 0.5000  6 Ni 2.40
Ni 0.4129 0.9176 0.4129  7 Ni 2.40-2.49
Ni 0.4129 0.4129 0.9176  7 Ni 2.40-2.49
Ni 0.3332 0.3332 0.3332  6 Ni 2.47-2.49
Nd 0.0000 0.0000 0.0000  6 Ni 2.83
Ni 0.6668 0.6668 0.6668  6 Ni 2.47-2.49
Sc 0.8580 0.8580 0.8580  12 Ni 2.79-2.89, 3 Sc 3.06
Ni 0.9176 0.4129 0.4129  7 Ni 2.40-2.49
Ni 0.5871 0.0824 0.5871  7 Ni 2.40-2.49
Ni 0.5871 0.5871 0.0824  7 Ni 2.40-2.49
Ni 0.0824 0.5871 0.5871  7 Ni 2.40-2.49
Sc 0.1420 0.1420 0.1420  12 Ni 2.79-2.89, 3 Sc 3.06


Number 1: calculated volume 180.9 Å³ per cell. Number 2: calculated volume 318.7 Å³ per cell. Number 3: calculated volume 356.5 Å³ per cell. Number 4: calculated volume 301.9 Å³ per cell. Number 5: calculated volume 128.1 Å³ per cell. Number 6: calculated volume 305.7 Å³ per cell. Number 7: calculated volume 194.9 Å³ per cell. Number 8: calculated volume 278.0 Å³ per cell. Number 9: calculated volume 234.9 Å³ per cell. Number 10: calculated volume 164.7 Å³ per cell.